Entry 1:
VASP calculation (PBE) on an optimized crystal structure of CdCo6.

The structure in CIF format:
```
data_CdCo6
_chemical_formula_sum 'Cd2 Co12'
_space_group_name_H-M_alt 'I m -3 m'
_space_group_IT_number 229
_space_group_name_Hall '-I 4 2 3'
_cell_length_a 6.009
_cell_length_b 6.009
_cell_length_c 6.009
_cell_angle_alpha 90.00
_cell_angle_beta 90.00
_cell_angle_gamma 90.00
loop_
_atom_site_label
_atom_site_type_symbol
_atom_site_fract_x
_atom_site_fract_y
_atom_site_fract_z
_atom_site_occupancy
Cd1 Cd 0.000 0.000 0.000 1
Co1 Co 0.000 0.250 0.500 1
```

Results
As for the total energy: -5.26 eV per atom. The mass density comes out at 7.1 Mg/m³. The density of states at the Fermi level comes out at 1.38 states/eV/atom. The value obtained for the calculated formation energy is 0.964 eV/atom. The crystal system is cubic.

Entry 2:
VASP calculation (PBE) on an optimized crystal structure of Cd3Co.

The structure in CIF format:
```
data_Cd3Co
_chemical_formula_sum 'Cd6 Co2'
_space_group_name_H-M_alt 'C m m m'
_space_group_IT_number 65
_space_group_name_Hall '-C 2 2'
_cell_length_a 4.259
_cell_length_b 4.267
_cell_length_c 8.247
_cell_angle_alpha 90.00
_cell_angle_beta 90.00
_cell_angle_gamma 90.00
loop_
_atom_site_label
_atom_site_type_symbol
_atom_site_fract_x
_atom_site_fract_y
_atom_site_fract_z
_atom_site_occupancy
Cd1 Cd 0.000 0.000 0.000 1
Cd2 Cd 0.000 0.500 0.291 1
Co1 Co 0.000 0.000 0.500 1
```

Results
As for the total energy: -2.25 eV per atom. The mass density comes out at 8.8 Mg/m³. The density of states at the Fermi level comes out at 1.34 states/eV/atom. The value obtained for the calculated formation energy is 0.213 eV/atom. The crystal system is orthorhombic.

Entry 3:
VASP calculation (PBE) on an optimized crystal structure of Cd3Co.

The structure in CIF format:
```
data_Cd3Co
_chemical_formula_sum 'Cd6 Co2'
_space_group_name_H-M_alt 'P m -3 n'
_space_group_IT_number 223
_space_group_name_Hall '-P 4n 2 3'
_cell_length_a 5.333
_cell_length_b 5.333
_cell_length_c 5.333
_cell_angle_alpha 90.00
_cell_angle_beta 90.00
_cell_angle_gamma 90.00
loop_
_atom_site_label
_atom_site_type_symbol
_atom_site_fract_x
_atom_site_fract_y
_atom_site_fract_z
_atom_site_occupancy
Cd1 Cd 0.000 0.250 0.500 1
Co1 Co 0.000 0.000 0.000 1
```

Results
As for the total energy: -2.08 eV per atom. The mass density comes out at 8.7 Mg/m³. The density of states at the Fermi level comes out at 1.38 states/eV/atom. The value obtained for the calculated formation energy is 0.379 eV/atom. The crystal system is cubic.

Entry 4:
VASP calculation (PBE) on an optimized crystal structure of Cd5Co.

The structure in CIF format:
```
data_Cd5Co
_chemical_formula_sum 'Cd10 Co2'
_space_group_name_H-M_alt 'C m m m'
_space_group_IT_number 65
_space_group_name_Hall '-C 2 2'
_cell_length_a 4.251
_cell_length_b 12.866
_cell_length_c 4.257
_cell_angle_alpha 90.00
_cell_angle_beta 90.00
_cell_angle_gamma 90.00
loop_
_atom_site_label
_atom_site_type_symbol
_atom_site_fract_x
_atom_site_fract_y
_atom_site_fract_z
_atom_site_occupancy
Cd1 Cd 0.000 0.000 0.000 1
Cd2 Cd 0.000 0.158 0.500 1
Cd3 Cd 0.000 0.342 0.000 1
Co1 Co 0.000 0.500 0.500 1
```

Results
As for the total energy: -1.76 eV per atom. The mass density comes out at 8.9 Mg/m³. The density of states at the Fermi level comes out at 0.84 states/eV/atom. The value obtained for the calculated formation energy is 0.183 eV/atom. The distance to the lowest polymorph of the same formula comes out at 27 meV/atom. The crystal system is orthorhombic.

Entry 5:
VASP calculation (PBE) on an optimized crystal structure of Cd2Co.

The structure in CIF format:
```
data_Cd2Co
_chemical_formula_sum 'Cd4 Co2'
_space_group_name_H-M_alt 'I 4/m m m'
_space_group_IT_number 139
_space_group_name_Hall '-I 4 2'
_cell_length_a 3.026
_cell_length_b 3.026
_cell_length_c 11.518
_cell_angle_alpha 90.00
_cell_angle_beta 90.00
_cell_angle_gamma 90.00
loop_
_atom_site_label
_atom_site_type_symbol
_atom_site_fract_x
_atom_site_fract_y
_atom_site_fract_z
_atom_site_occupancy
Cd1 Cd 0.000 0.000 0.148 1
Co1 Co 0.000 0.000 0.500 1
```

Results
As for the total energy: -2.71 eV per atom. The mass density comes out at 8.9 Mg/m³. The density of states at the Fermi level comes out at 1.76 states/eV/atom. The value obtained for the calculated formation energy is 0.270 eV/atom. The crystal system is tetragonal.

Entry 6:
VASP calculation (PBE) on an optimized crystal structure of Cd3Co5.

The structure in CIF format:
```
data_Cd3Co5
_chemical_formula_sum 'Cd6 Co10'
_space_group_name_H-M_alt 'P -1'
_space_group_IT_number 2
_cell_length_a 4.535
_cell_length_b 7.792
_cell_length_c 7.885
_cell_angle_alpha 74.85
_cell_angle_beta 75.31
_cell_angle_gamma 73.92
loop_
_space_group_symop_operation_xyz
'x,y,z'
'-x,-y,-z'
loop_
_atom_site_label
_atom_site_type_symbol
_atom_site_fract_x
_atom_site_fract_y
_atom_site_fract_z
_atom_site_occupancy
Cd1 Cd 0.174 0.083 0.093 1
Cd2 Cd 0.185 0.555 0.093 1
Cd3 Cd 0.312 0.901 0.468 1
Co1 Co 0.070 0.211 0.686 1
Co2 Co 0.189 0.274 0.370 1
Co3 Co 0.250 0.525 0.473 1
Co4 Co 0.308 0.615 0.733 1
Co5 Co 0.449 0.299 0.782 1
```

Results
As for the total energy: -4.45 eV per atom. The mass density comes out at 8.3 Mg/m³. The density of states at the Fermi level comes out at 0.96 states/eV/atom. The value obtained for the calculated formation energy is 0.337 eV/atom. The distance to the lowest polymorph of the same formula comes out at 0 meV/atom. The crystal system is triclinic.

Entry 7:
VASP calculation (PBE) on an optimized crystal structure of CdCo3.

The structure in CIF format:
```
data_CdCo3
_chemical_formula_sum 'Cd1 Co3'
_space_group_name_H-M_alt 'P 4/m m m'
_space_group_IT_number 123
_space_group_name_Hall '-P 4 2'
_cell_length_a 2.832
_cell_length_b 2.832
_cell_length_c 6.619
_cell_angle_alpha 90.00
_cell_angle_beta 90.00
_cell_angle_gamma 90.00
loop_
_atom_site_label
_atom_site_type_symbol
_atom_site_fract_x
_atom_site_fract_y
_atom_site_fract_z
_atom_site_occupancy
Cd1 Cd 0.000 0.000 0.000 1
Co1 Co 0.000 0.000 0.500 1
Co2 Co 0.500 0.500 0.296 1
```

Results
As for the total energy: -5.34 eV per atom. The mass density comes out at 9.0 Mg/m³. The density of states at the Fermi level comes out at 1.26 states/eV/atom. The value obtained for the calculated formation energy is 0.215 eV/atom. The crystal system is tetragonal.

Entry 8:
VASP calculation (PBE) on an optimized crystal structure of Cd3Co.

The structure in CIF format:
```
data_Cd3Co
_chemical_formula_sum 'Cd12 Co4'
_space_group_name_H-M_alt 'F m -3 m'
_space_group_IT_number 225
_space_group_name_Hall '-F 4 2 3'
_cell_length_a 6.646
_cell_length_b 6.646
_cell_length_c 6.646
_cell_angle_alpha 90.00
_cell_angle_beta 90.00
_cell_angle_gamma 90.00
loop_
_atom_site_label
_atom_site_type_symbol
_atom_site_fract_x
_atom_site_fract_y
_atom_site_fract_z
_atom_site_occupancy
Cd1 Cd 0.000 0.000 0.000 1
Cd2 Cd 0.250 0.250 0.250 1
Co1 Co 0.000 0.000 0.500 1
```

Results
As for the total energy: -2.17 eV per atom. The mass density comes out at 9.0 Mg/m³. The density of states at the Fermi level comes out at 1.19 states/eV/atom. The value obtained for the calculated formation energy is 0.290 eV/atom. The crystal system is cubic.

Entry 9:
VASP calculation (PBE) on an optimized crystal structure of CdCo2.

The structure in CIF format:
```
data_CdCo2
_chemical_formula_sum 'Cd2 Co4'
_space_group_name_H-M_alt 'I 4/m m m'
_space_group_IT_number 139
_space_group_name_Hall '-I 4 2'
_cell_length_a 2.821
_cell_length_b 2.821
_cell_length_c 10.571
_cell_angle_alpha 90.00
_cell_angle_beta 90.00
_cell_angle_gamma 90.00
loop_
_atom_site_label
_atom_site_type_symbol
_atom_site_fract_x
_atom_site_fract_y
_atom_site_fract_z
_atom_site_occupancy
Cd1 Cd 0.000 0.000 0.000 1
Co1 Co 0.000 0.000 0.311 1
```

Results
As for the total energy: -4.83 eV per atom. The mass density comes out at 9.1 Mg/m³. The density of states at the Fermi level comes out at 0.95 states/eV/atom. The value obtained for the calculated formation energy is 0.216 eV/atom. The crystal system is tetragonal.

Entry 10:
VASP calculation (PBE) on an optimized crystal structure of CdCo4.

The structure in CIF format:
```
data_CdCo4
_chemical_formula_sum 'Cd1 Co4'
_space_group_name_H-M_alt 'P m -3 m'
_space_group_IT_number 221
_space_group_name_Hall '-P 4 2 3'
_cell_length_a 4.617
_cell_length_b 4.617
_cell_length_c 4.617
_cell_angle_alpha 90.00
_cell_angle_beta 90.00
_cell_angle_gamma 90.00
loop_
_atom_site_label
_atom_site_type_symbol
_atom_site_fract_x
_atom_site_fract_y
_atom_site_fract_z
_atom_site_occupancy
Cd1 Cd 0.000 0.000 0.000 1
Co1 Co 0.000 0.000 0.500 1
Co2 Co 0.500 0.500 0.500 1
```

Results
As for the total energy: -3.83 eV per atom. The mass density comes out at 5.9 Mg/m³. The density of states at the Fermi level comes out at 1.87 states/eV/atom. The value obtained for the calculated formation energy is 2.033 eV/atom. The distance to the lowest polymorph of the same formula comes out at 1774 meV/atom. The crystal system is cubic.

Entry 11:
VASP calculation (PBE) on an optimized crystal structure of Cd2Co.

The structure in CIF format:
```
data_Cd2Co
_chemical_formula_sum 'Cd2 Co1'
_space_group_name_H-M_alt 'P -3 m 1'
_space_group_IT_number 164
_space_group_name_Hall '-P 3 2"'
_cell_length_a 4.5960
_cell_length_b 4.5960
_cell_length_c 2.8508
_cell_angle_alpha 90.00
_cell_angle_beta 90.00
_cell_angle_gamma 120.00
loop_
_atom_site_label
_atom_site_type_symbol
_atom_site_fract_x
_atom_site_fract_y
_atom_site_fract_z
_atom_site_occupancy
Cd1 Cd 0.3333 0.6667 0.3082 1
Co1 Co 0.0000 0.0000 0.0000 1
```

Results
As for the total energy: -2.63 eV per atom. The mass density comes out at 9.0 Mg/m³. The density of states at the Fermi level comes out at 0.71 states/eV/atom. The value obtained for the calculated formation energy is 0.350 eV/atom. The crystal system is trigonal.

Entry 12:
VASP calculation (PBE) on an optimized crystal structure of CdCo4.

The structure in CIF format:
```
data_CdCo4
_chemical_formula_sum 'Cd2 Co8'
_space_group_name_H-M_alt 'I 4/m m m'
_space_group_IT_number 139
_space_group_name_Hall '-I 4 2'
_cell_length_a 3.667
_cell_length_b 3.667
_cell_length_c 10.222
_cell_angle_alpha 90.00
_cell_angle_beta 90.00
_cell_angle_gamma 90.00
loop_
_atom_site_label
_atom_site_type_symbol
_atom_site_fract_x
_atom_site_fract_y
_atom_site_fract_z
_atom_site_occupancy
Cd1 Cd 0.000 0.000 0.000 1
Co1 Co 0.000 0.000 0.389 1
Co2 Co 0.000 0.500 0.250 1
```

Results
As for the total energy: -5.55 eV per atom. The mass density comes out at 8.4 Mg/m³. The density of states at the Fermi level comes out at 0.82 states/eV/atom. The value obtained for the calculated formation energy is 0.316 eV/atom. The distance to the lowest polymorph of the same formula comes out at 57 meV/atom. The crystal system is tetragonal.